[1]
{"formula": "LiAgAs2", "functional": "PBE", "state": "optimized geometry", "lattice_angstrom": [[2.9418, -4.0669, 0.0000], [2.9418, 4.0669, 0.0000], [-0.0744, 0.0000, 2.9875]], "species": ["Li", "Ag", "As", "As"], "fractional_positions": [[0.0000, 0.0000, 0.0000], [0.5000, 0.5000, 0.0000], [0.0000, 0.5000, 0.5000], [0.5000, 0.0000, 0.5000]], "spacegroup": "No. 12", "de_polymorph_kj_per_mol_atoms": 6.9, "formation_enthalpy_0k_ev_per_atom": -0.11}

[2]
{"formula": "Li2AgAs", "functional": "PBE", "state": "optimized geometry", "lattice_angstrom": [[4.4628, 0.0000, 0.0000], [0.0000, 4.4628, 0.0000], [0.0000, 0.0000, 3.1290]], "species": ["Li", "Li", "Ag", "As"], "fractional_positions": [[0.0000, 0.5000, 0.0000], [0.5000, 0.0000, 0.0000], [0.0000, 0.0000, 0.5000], [0.5000, 0.5000, 0.5000]], "spacegroup": "No. 123", "formation_enthalpy_0k_ev_per_atom": -0.36}

[3]
{"formula": "LiAgAs2", "functional": "PBE", "state": "optimized geometry", "lattice_angstrom": [[4.2118, 0.0000, 0.0000], [0.0000, 4.2118, 0.0000], [0.0000, 0.0000, 4.0007]], "species": ["Li", "Ag", "As", "As"], "fractional_positions": [[0.0000, 0.0000, 0.0000], [0.5000, 0.5000, 0.0000], [0.0000, 0.5000, 0.5000], [0.5000, 0.0000, 0.5000]], "spacegroup": "No. 123", "de_polymorph_kj_per_mol_atoms": 6.7, "formation_enthalpy_0k_ev_per_atom": -0.11}

[4]
{"formula": "Li2AgAs", "functional": "PBE", "state": "optimized geometry", "lattice_angstrom": [[2.8249, 0.0000, 0.0000], [0.0000, 4.2838, 0.0000], [0.0000, 0.0000, 5.4919]], "species": ["Li", "Li", "Ag", "As"], "fractional_positions": [[0.0000, 0.0000, 0.0000], [0.5000, 0.5000, 0.2994], [0.0000, 0.0000, 0.5009], [0.5000, 0.5000, 0.8073]], "spacegroup": "No. 25", "formation_enthalpy_0k_ev_per_atom": -0.26}

[5]
{"formula": "Li2Ag3As2", "functional": "PBE", "state": "optimized geometry", "lattice_angstrom": [[4.7112, -2.1911, 0.0000], [4.7112, 2.1911, 0.0000], [-1.1669, 0.0000, 6.4676]], "species": ["Li", "Li", "Ag", "Ag", "Ag", "As", "As"], "fractional_positions": [[0.1152, 0.1152, 0.3658], [0.8848, 0.8848, 0.6342], [0.1850, 0.1850, 0.8759], [0.5000, 0.5000, 0.0000], [0.8150, 0.8150, 0.1241], [0.3946, 0.3946, 0.3372], [0.6054, 0.6054, 0.6628]], "spacegroup": "No. 12", "formation_enthalpy_0k_ev_per_atom": -0.23}

[6]
{"formula": "LiAgAs4", "functional": "PBE", "state": "optimized geometry", "lattice_angstrom": [[0.0000, 3.9493, 3.9493], [3.9493, 0.0000, 3.9493], [3.9493, 3.9493, 0.0000]], "species": ["Li", "Ag", "As", "As", "As", "As"], "fractional_positions": [[0.0000, 0.0000, 0.0000], [0.7500, 0.7500, 0.7500], [0.3762, 0.3762, 0.3762], [0.3762, 0.3762, 0.8714], [0.3762, 0.8714, 0.3762], [0.8714, 0.3762, 0.3762]], "spacegroup": "No. 216", "formation_enthalpy_0k_ev_per_atom": 0.14}

[7]
{"formula": "Li2AgAs", "functional": "PBE", "state": "optimized geometry", "lattice_angstrom": [[-1.4927, 2.4959, 5.0650], [1.4927, -2.4959, 5.0650], [1.4927, 2.4959, -5.0650]], "species": ["Li", "Li", "Ag", "As"], "fractional_positions": [[0.2416, 0.2416, 0.0000], [0.7584, 0.7584, 0.0000], [0.5000, 0.5000, 0.0000], [0.0000, 0.0000, 0.0000]], "spacegroup": "No. 71", "formation_enthalpy_0k_ev_per_atom": -0.01}

[8]
{"formula": "Li4AgAs", "functional": "PBE", "state": "optimized geometry", "lattice_angstrom": [[2.8681, 0.0000, 0.0000], [0.0000, 4.2456, 0.0000], [0.0000, 0.0000, 7.6674]], "species": ["Li", "Li", "Li", "Li", "Ag", "As"], "fractional_positions": [[0.0000, 0.0000, 0.1551], [0.0000, 0.0000, 0.8449], [0.0000, 0.5000, 0.3235], [0.0000, 0.5000, 0.6765], [0.5000, 0.0000, 0.5000], [0.5000, 0.5000, 0.0000]], "spacegroup": "No. 47", "de_polymorph_kj_per_mol_atoms": 0.0, "formation_enthalpy_0k_ev_per_atom": -0.34}

[9]
{"formula": "LiAgAs2", "functional": "PBE", "state": "optimized geometry", "lattice_angstrom": [[4.3480, -1.8101, 0.0000], [4.3480, 1.8101, 0.0000], [-0.5378, 0.0000, 4.7269]], "species": ["Li", "Ag", "As", "As"], "fractional_positions": [[0.0000, 0.0000, 0.0000], [0.5000, 0.5000, 0.5000], [0.2516, 0.2516, 0.8042], [0.7484, 0.7484, 0.1958]], "spacegroup": "No. 12", "de_polymorph_kj_per_mol_atoms": 4.1, "formation_enthalpy_0k_ev_per_atom": -0.14}

[10]
{"formula": "LiAgAs2", "functional": "PBE", "state": "optimized geometry", "lattice_angstrom": [[-2.0109, 2.0109, 4.4127], [2.0109, -2.0109, 4.4127], [2.0109, 2.0109, -4.4127]], "species": ["Li", "Ag", "As", "As"], "fractional_positions": [[0.0000, 0.0000, 0.0000], [0.2500, 0.7500, 0.5000], [0.5000, 0.5000, 0.0000], [0.7500, 0.2500, 0.5000]], "spacegroup": "No. 119", "de_polymorph_kj_per_mol_atoms": 10.0, "formation_enthalpy_0k_ev_per_atom": -0.08}

[11]
{"formula": "Li2AgAs", "functional": "PBE", "state": "optimized geometry", "lattice_angstrom": [[2.8880, -3.4774, 0.0000], [2.8880, 3.4774, 0.0000], [-0.0237, 0.0000, 3.1596]], "species": ["Li", "Li", "Ag", "As"], "fractional_positions": [[0.0000, 0.5000, 0.0000], [0.5000, 0.0000, 0.0000], [0.0000, 0.0000, 0.5000], [0.5000, 0.5000, 0.5000]], "spacegroup": "No. 12", "formation_enthalpy_0k_ev_per_atom": -0.37}

[12]
{"formula": "LiAgAs2", "functional": "PBE", "state": "optimized geometry", "lattice_angstrom": [[2.7995, 0.0000, 0.0000], [0.0000, 2.7995, 0.0000], [0.0000, 0.0000, 9.2121]], "species": ["Li", "Ag", "As", "As"], "fractional_positions": [[0.0000, 0.0000, 0.0000], [0.5000, 0.5000, 0.2289], [0.0000, 0.0000, 0.4703], [0.5000, 0.5000, 0.7941]], "spacegroup": "No. 99", "de_polymorph_kj_per_mol_atoms": 16.9, "formation_enthalpy_0k_ev_per_atom": -0.01}

[13]
{"formula": "LiAgAs2", "functional": "PBE", "state": "optimized geometry", "lattice_angstrom": [[6.0458, -1.4753, 0.0000], [6.0458, 1.4753, 0.0000], [-1.0559, 0.0000, 4.3220]], "species": ["Li", "Ag", "As", "As"], "fractional_positions": [[0.0000, 0.0000, 0.0000], [0.7092, 0.7092, 0.8972], [0.2762, 0.2762, 0.4336], [0.4918, 0.4918, 0.4914]], "spacegroup": "No. 8", "de_polymorph_kj_per_mol_atoms": 2.6, "formation_enthalpy_0k_ev_per_atom": -0.15}

[14]
{"formula": "LiMgAgAs", "functional": "PBE", "state": "optimized geometry", "lattice_angstrom": [[0.0000, 3.2916, 3.2916], [3.2916, 0.0000, 3.2916], [3.2916, 3.2916, 0.0000]], "species": ["Li", "Mg", "Ag", "As"], "fractional_positions": [[0.0000, 0.0000, 0.0000], [0.5000, 0.5000, 0.5000], [0.7500, 0.7500, 0.7500], [0.2500, 0.2500, 0.2500]], "spacegroup": "No. 216", "formation_enthalpy_0k_ev_per_atom": -0.33}

[15]
{"formula": "NaLiAgAs", "functional": "PBE", "state": "optimized geometry", "lattice_angstrom": [[0.0000, 3.3051, 3.3051], [3.3051, 0.0000, 3.3051], [3.3051, 3.3051, 0.0000]], "species": ["Na", "Li", "Ag", "As"], "fractional_positions": [[0.0000, 0.0000, 0.0000], [0.7500, 0.7500, 0.7500], [0.2500, 0.2500, 0.2500], [0.5000, 0.5000, 0.5000]], "spacegroup": "No. 216", "formation_enthalpy_0k_ev_per_atom": -0.34}

[16]
{"formula": "Li2AgAsO4", "functional": "PBE", "state": "optimized geometry", "lattice_angstrom": [[-2.4869, 2.4869, 4.0054], [2.4869, -2.4869, 4.0054], [2.4869, 2.4869, -4.0054]], "species": ["Li", "Li", "Ag", "As", "O", "O", "O", "O"], "fractional_positions": [[0.2500, 0.7500, 0.5000], [0.7500, 0.2500, 0.5000], [0.0000, 0.0000, 0.0000], [0.5000, 0.5000, 0.0000], [0.1731, 0.5673, 0.0000], [0.4327, 0.4327, 0.6057], [0.5673, 0.1731, 0.0000], [0.8269, 0.8269, 0.3943]], "spacegroup": "No. 121"}

[17]
{"formula": "Li3AgAs4Pb2", "functional": "PBE", "state": "optimized geometry", "lattice_angstrom": [[4.1712, 0.0000, 0.0000], [0.0000, 4.1712, 0.0000], [0.0000, 0.0000, 11.7302]], "species": ["Li", "Li", "Li", "Ag", "As", "As", "As", "As", "Pb", "Pb"], "fractional_positions": [[0.0000, 0.0000, 0.0000], [0.0000, 0.5000, 0.6367], [0.5000, 0.0000, 0.3633], [0.5000, 0.5000, 0.0000], [0.0000, 0.0000, 0.5000], [0.0000, 0.5000, 0.8518], [0.5000, 0.0000, 0.1482], [0.5000, 0.5000, 0.5000], [0.0000, 0.5000, 0.2418], [0.5000, 0.0000, 0.7582]], "spacegroup": "No. 115", "formation_enthalpy_0k_ev_per_atom": -0.25}

[18]
{"formula": "LiAgAsPd", "functional": "PBE", "state": "optimized geometry", "lattice_angstrom": [[0.0000, 3.1546, 3.1546], [3.1546, 0.0000, 3.1546], [3.1546, 3.1546, 0.0000]], "species": ["Li", "Ag", "As", "Pd"], "fractional_positions": [[0.0000, 0.0000, 0.0000], [0.7500, 0.7500, 0.7500], [0.5000, 0.5000, 0.5000], [0.2500, 0.2500, 0.2500]], "spacegroup": "No. 216", "formation_enthalpy_0k_ev_per_atom": -0.33}

[19]
{"formula": "LiAgAsPt", "functional": "PBE", "state": "optimized geometry", "lattice_angstrom": [[0.0000, 3.1802, 3.1802], [3.1802, 0.0000, 3.1802], [3.1802, 3.1802, 0.0000]], "species": ["Li", "Ag", "As", "Pt"], "fractional_positions": [[0.0000, 0.0000, 0.0000], [0.2500, 0.2500, 0.2500], [0.7500, 0.7500, 0.7500], [0.5000, 0.5000, 0.5000]], "spacegroup": "No. 216", "formation_enthalpy_0k_ev_per_atom": -0.28}

[20]
{"formula": "LiAgAs2S", "functional": "PBE", "state": "optimized geometry", "lattice_angstrom": [[4.9557, 0.0000, 0.0000], [0.0000, 4.9557, 0.0000], [0.0000, 0.0000, 4.7834]], "species": ["Li", "Ag", "As", "As", "S"], "fractional_positions": [[0.0000, 0.0000, 0.0000], [0.5000, 0.5000, 0.0000], [0.0000, 0.5000, 0.5000], [0.5000, 0.0000, 0.5000], [0.5000, 0.5000, 0.5000]], "spacegroup": "No. 123"}

In order of appearance, DFT total energy = -3.63, -3.20, -3.63, -3.10, -3.32, -3.75, -2.85, -2.86, -3.65, -3.59, -3.21, -3.52, -3.67, -3.08, -3.03, -5.36, -3.71, -3.98, -4.14, -3.20 eV per atom.